VASP calculation (GGA-PBE) on a geometry-optimized TcPt2Rh structure.

a = 4.8160 Å, b = 4.8160 Å, c = 2.7422 Å
α = 90.00°, β = 90.00°, γ = 110.25°
With the nearest neighbours (Å) after each atom.
Element x y z (fractional)
Tc1 0.0000 0.0000 0.0000  2 Tc 2.74, 2 Rh 2.75, 8 Pt 2.77
Pt1 0.0000 0.5000 0.5000  4 Pt 2.74-2.75, 4 Tc 2.77, 4 Rh 2.77
Pt2 0.5000 0.0000 0.5000  4 Pt 2.74-2.75, 4 Tc 2.77, 4 Rh 2.77
Rh1 0.5000 0.5000 0.0000  2 Rh 2.74, 2 Tc 2.75, 8 Pt 2.77

Output
As for the total energy: -0.2759 hartree per atom. The value obtained for the offset from the most stable computed form is 0.111 eV/atom. The energy of formation is -0.057 eV per atom.